A plane-wave DFT calculation with PBE-GGA was carried out for Ac4Ru2Au after structural relaxation.

Lattice parameters (Å, degrees): 8.5458 8.5457 8.5458 117.68 108.03 103.07
Fractional positions:
Ac (0.3508, 0.1360, 0.7858)
Ac (0.9000, 0.6143, 0.7149)
Ac (0.3500, 0.5650, 0.2143)
Ac (0.8992, 0.1851, 0.2853)
Ac (0.4165, 0.1102, 0.3063)
Ac (0.8335, 0.6398, 0.1937)
Ac (0.8039, 0.1097, 0.6932)
Ac (0.4461, 0.6393, 0.8058)
Au (0.0955, 0.0956, 0.0002)
Au (0.1546, 0.6547, 0.5001)
Ru (0.6252, 0.3747, 0.7500)
Ru (0.1249, 0.3749, 0.7499)
Ru (0.6248, 0.8748, 0.2496)
Ru (0.6250, 0.3759, 0.2510)

Calculated values
Formation energy, eV per atom: -0.23
Size of the total moment, μB/atom: 0.00
DOS at the Fermi energy, states/eV per cell: 7.073
E above lowest polymorph, meV per atom: 109
Raw total energy, eV for the cell shown: -79.745
Space group: I2_12_12_1